This record from the Alexandria database describes a relaxed K2PrRe2N6 crystal. The functional is GGA-PBE.

extended XYZ file:
```
11
Lattice="5.534 -3.196 0.000 5.534 3.196 0.000 -4.111 0.000 6.357" Properties=species:S:1:pos:R:3 pbc="T T T"
K 1.569 0.000 1.155
K 5.389 0.000 5.202
Pr -2.056 0.000 3.178
Re 1.793 0.000 5.056
Re 5.165 0.000 1.301
N 4.202 1.498 1.508
N 0.248 0.000 4.161
N 2.755 1.498 4.849
N 4.202 -1.498 1.508
N 6.710 0.000 2.196
N 2.755 -1.498 4.849
```

Final energy   -85.11 eV/f.u.
E_form (uncorrected)   -0.30 eV per atom
Calculated density   4.99 g/cm³
DOS at the Fermi energy   3.85 states/eV/f.u.

=====

This record from the Alexandria database describes a relaxed KPr2Re2N6 crystal. The functional is GGA-PBE.

extended XYZ file:
```
11
Lattice="6.289 0.000 0.000 -2.927 6.171 0.000 -2.763 -2.332 5.890" Properties=species:S:1:pos:R:3 pbc="T T T"
K 0.000 0.000 0.000
Pr -0.481 3.482 1.647
Pr 1.080 0.358 4.243
Re -2.420 2.519 4.026
Re 3.018 1.321 1.864
N -3.603 2.004 5.357
N -2.439 4.233 3.502
N -0.730 1.937 4.213
N 1.329 1.903 1.678
N 3.038 -0.393 2.388
N 4.201 1.836 0.533
```

Final energy   -91.58 eV/f.u.
E_form (uncorrected)   -0.55 eV per atom
Calculated density   5.65 g/cm³
DOS at the Fermi energy   2.84 states/eV/f.u.

=====

This record from the Alexandria database describes a relaxed K2PrTc2N6 crystal. The functional is GGA-PBE.

extended XYZ file:
```
11
Lattice="5.511 -3.174 0.000 5.511 3.174 0.000 -4.086 0.000 6.336" Properties=species:S:1:pos:R:3 pbc="T T T"
K 1.563 0.000 1.150
K 5.374 0.000 5.186
Pr -2.043 0.000 3.168
Tc 1.793 0.000 5.036
Tc 5.144 0.000 1.300
N 4.191 1.489 1.493
N 0.254 0.000 4.163
N 2.746 1.489 4.842
N 4.191 -1.489 1.493
N 6.683 0.000 2.173
N 2.746 -1.489 4.842
```

Final energy   -79.61 eV/f.u.
E_form (uncorrected)   -0.18 eV per atom
Calculated density   3.74 g/cm³
DOS at the Fermi energy   3.85 states/eV/f.u.

=====

This record from the Alexandria database describes a relaxed KPrVN3 crystal. The functional is GGA-PBE.

extended XYZ file:
```
12
Lattice="6.856 -1.934 0.000 6.856 1.934 0.000 -2.178 0.000 7.661" Properties=species:S:1:pos:R:3 pbc="T T T"
K 1.779 0.000 0.507
K 9.755 0.000 7.153
Pr 0.894 0.000 4.490
Pr 10.639 0.000 3.171
V 5.275 0.000 5.272
V 6.259 0.000 2.389
N -0.560 0.000 2.446
N 3.360 0.000 4.866
N 4.603 0.000 1.635
N 6.931 0.000 6.025
N 8.174 0.000 2.794
N 12.093 0.000 5.215
```

Final energy   -43.08 eV/f.u.
E_form (uncorrected)   -0.52 eV per atom
Calculated density   4.46 g/cm³
DOS at the Fermi energy   2.42 states/eV/f.u.

=====

This record from the Alexandria database describes a relaxed KPr2W2N6 crystal. The functional is GGA-PBE.

extended XYZ file:
```
11
Lattice="6.472 0.000 0.000 -2.895 6.058 0.000 -3.071 -2.059 5.829" Properties=species:S:1:pos:R:3 pbc="T T T"
K 0.000 0.000 0.000
Pr -0.431 3.503 1.682
Pr 0.936 0.496 4.147
W -2.597 2.713 4.010
W 3.103 1.286 1.820
N -3.882 2.231 5.279
N -2.543 4.369 3.200
N -0.857 2.119 4.092
N 1.362 1.880 1.738
N 3.048 -0.369 2.629
N 4.387 1.768 0.551
```

Final energy   -92.71 eV/f.u.
E_form (uncorrected)   -0.56 eV per atom
Calculated density   5.61 g/cm³
DOS at the Fermi energy   3.78 states/eV/f.u.

=====

This record from the Alexandria database describes a relaxed KPtN2 crystal. The functional is GGA-PBE.

extended XYZ file:
```
4
Lattice="1.833 1.059 7.171 -1.833 1.059 7.171 0.000 -2.117 7.171" Properties=species:S:1:pos:R:3 pbc="T T T"
K 0.000 0.000 0.000
Pt 0.000 0.000 10.756
N 0.000 0.000 8.981
N 0.000 0.000 12.531
```

Final energy   -19.56 eV/f.u.
Energy above the lowest structure with this stoichiometry   81 kJ/mol of formula units
E_form (uncorrected)   1.06 eV per atom
Calculated density   5.21 g/cm³
DOS at the Fermi energy   4.21 states/eV/f.u.

=====

This record from the Alexandria database describes a relaxed KPt3N crystal. The functional is GGA-PBE.

extended XYZ file:
```
5
Lattice="5.179 0.000 0.000 0.000 5.179 0.000 0.000 0.000 5.179" Properties=species:S:1:pos:R:3 pbc="T T T"
K 0.000 0.000 0.000
Pt 0.000 0.000 2.589
Pt 0.000 2.589 0.000
Pt 2.589 0.000 0.000
N 2.589 2.589 2.589
```

Final energy   -11.62 eV/f.u.
Energy above the lowest structure with this stoichiometry   1258 kJ/mol of formula units
E_form (uncorrected)   3.19 eV per atom
Calculated density   7.63 g/cm³
DOS at the Fermi energy   6.42 states/eV/f.u.

=====

This record from the Alexandria database describes a relaxed KPtN2 crystal. The functional is GGA-PBE.

extended XYZ file:
```
4
Lattice="1.667 0.962 6.678 -1.667 0.962 6.678 0.000 -1.925 6.678" Properties=species:S:1:pos:R:3 pbc="T T T"
K 0.000 0.000 0.000
Pt 0.000 0.000 10.017
N 0.000 0.000 2.483
N 0.000 0.000 17.551
```

Final energy   -20.40 eV/f.u.
Energy above the lowest structure with this stoichiometry   0 kJ/mol of formula units
E_form (uncorrected)   0.85 eV per atom
Calculated density   6.77 g/cm³
DOS at the Fermi energy   2.93 states/eV/f.u.

=====

Q: Among the records above, which one has the lowest final energy?
A: KPr2W2N6

=====

Q: Among the records above, which one has the highest calculated density?
A: KPt3N